Entry 1:
## YZn2Ag (GGA-PBE)

Data for a relaxed structure of YZn2Ag.

Calculated values
**Formation energy from the elements**: -183.2 meV per atom
**SG**: Pmmm

abc: 3.368 4.697 5.283
angles: 90.00 90.00 90.00
Atoms (fractional coordinates):
Y (0.000, 0.000, 0.000)
Zn (0.500, 0.500, 0.250)
Zn (0.500, 0.500, 0.750)
Ag (0.500, 0.000, 0.500)



Entry 2:
## YZn3Ag (GGA-PBE)

Data for a relaxed structure of YZn3Ag.

Calculated values
**Formation energy from the elements**: -240.4 meV per atom
**SG**: Cmcm

abc: 6.109 6.109 5.789
angles: 90.00 90.00 117.02
Atoms (fractional coordinates):
Y (0.232, 0.768, 0.750)
Y (0.768, 0.232, 0.250)
Zn (0.300, 0.300, 0.000)
Zn (0.300, 0.300, 0.500)
Zn (0.339, 0.661, 0.250)
Zn (0.661, 0.339, 0.750)
Zn (0.700, 0.700, 0.000)
Zn (0.700, 0.700, 0.500)
Ag (0.096, 0.904, 0.250)
Ag (0.904, 0.096, 0.750)



Entry 3:
## YZn12Ag7 (GGA-PBE)

Data for a relaxed structure of YZn12Ag7.

Calculated values
**Formation energy from the elements**: 222.1 meV per atom
**SG**: Im-3

abc: 8.169 8.169 8.169
angles: 109.47 109.47 109.47
Atoms (fractional coordinates):
Y (0.000, 0.000, 0.000)
Zn (0.107, 0.752, 0.355)
Zn (0.248, 0.355, 0.603)
Zn (0.248, 0.645, 0.893)
Zn (0.355, 0.107, 0.752)
Zn (0.355, 0.603, 0.248)
Zn (0.397, 0.752, 0.645)
Zn (0.603, 0.248, 0.355)
Zn (0.645, 0.397, 0.752)
Zn (0.645, 0.893, 0.248)
Zn (0.752, 0.355, 0.107)
Zn (0.752, 0.645, 0.397)
Zn (0.893, 0.248, 0.645)
Ag (0.000, 0.000, 0.500)
Ag (0.000, 0.500, 0.000)
Ag (0.000, 0.500, 0.500)
Ag (0.500, 0.000, 0.000)
Ag (0.500, 0.000, 0.500)
Ag (0.500, 0.500, 0.000)
Ag (0.500, 0.500, 0.500)



Entry 4:
## YZrAg (GGA-PBE)

Data for a relaxed structure of YZrAg.

Calculated values
**Formation energy from the elements**: -39.8 meV per atom
**SG**: Ima2

abc: 5.913 5.913 5.913
angles: 117.29 89.95 122.85
Atoms (fractional coordinates):
Y (0.124, 0.250, 0.374)
Y (0.876, 0.750, 0.626)
Zr (0.502, 0.973, 0.028)
Zr (0.945, 0.473, 0.972)
Ag (0.456, 0.456, 0.000)
Ag (0.456, 0.956, 0.500)



Entry 5:
## YZr2Ag (GGA-PBE)

Data for a relaxed structure of YZr2Ag.

Calculated values
**Formation energy from the elements**: 90.1 meV per atom
**SG**: P2/m

abc: 3.237 5.508 5.348
angles: 90.00 96.67 90.00
Atoms (fractional coordinates):
Y (0.000, 0.000, 0.000)
Zr (0.312, 0.500, 0.739)
Zr (0.688, 0.500, 0.261)
Ag (0.500, 0.000, 0.500)



Entry 6:
## Y3ZrAg2 (GGA-PBE)

Data for a relaxed structure of Y3ZrAg2.

Calculated values
**Formation energy from the elements**: -172.5 meV per atom
**SG**: P4/mmm

abc: 3.556 3.556 11.994
angles: 90.00 90.00 90.00
Atoms (fractional coordinates):
Y (0.000, 0.000, 0.000)
Y (0.000, 0.000, 0.314)
Y (0.000, 0.000, 0.686)
Zr (0.500, 0.500, 0.500)
Ag (0.500, 0.500, 0.156)
Ag (0.500, 0.500, 0.844)



Entry 7:
## YZrAg (GGA-PBE)

Data for a relaxed structure of YZrAg.

Calculated values
**Formation energy from the elements**: -6.9 meV per atom
**SG**: Cmc2_1

abc: 6.948 6.948 6.376
angles: 90.00 90.00 150.99
Atoms (fractional coordinates):
Y (0.185, 0.815, 0.500)
Y (0.815, 0.185, 0.000)
Zr (0.500, 0.500, 0.249)
Zr (0.500, 0.500, 0.749)
Ag (0.127, 0.873, 0.999)
Ag (0.873, 0.127, 0.499)



Entry 8:
## YZrAg (GGA-PBE)

Data for a relaxed structure of YZrAg.

Calculated values
**Formation energy from the elements**: 350.0 meV per atom
**SG**: P6_3/mmc

abc: 5.162 5.162 5.948
angles: 90.00 90.00 120.00
Atoms (fractional coordinates):
Y (0.333, 0.667, 0.250)
Y (0.667, 0.333, 0.750)
Zr (0.333, 0.667, 0.750)
Zr (0.667, 0.333, 0.250)
Ag (0.000, 0.000, 0.000)
Ag (0.000, 0.000, 0.500)



Entry 9:
## YZrAg (GGA-PBE)

Data for a relaxed structure of YZrAg.

Calculated values
**Formation energy from the elements**: -61.3 meV per atom
**SG**: Fmmm

abc: 7.391 6.357 5.385
angles: 77.54 57.12 45.34
Atoms (fractional coordinates):
Y (0.137, 0.137, 0.863)
Y (0.863, 0.863, 0.137)
Zr (0.335, 0.665, 0.335)
Zr (0.665, 0.335, 0.665)
Ag (0.250, 0.250, 0.250)
Ag (0.750, 0.750, 0.750)



Entry 10:
## Y4ZrAg (GGA-PBE)

Data for a relaxed structure of Y4ZrAg.

Calculated values
**Formation energy from the elements**: 527.9 meV per atom
**SG**: F-43m

abc: 6.277 6.277 6.277
angles: 60.00 60.00 60.00
Atoms (fractional coordinates):
Y (0.124, 0.124, 0.124)
Y (0.124, 0.124, 0.627)
Y (0.124, 0.627, 0.124)
Y (0.627, 0.124, 0.124)
Zr (0.750, 0.750, 0.750)
Ag (0.500, 0.500, 0.500)



Entry 11:
## YZrAg (GGA-PBE)

Data for a relaxed structure of YZrAg.

Calculated values
**Formation energy from the elements**: -28.2 meV per atom
**SG**: P-1

abc: 4.852 5.209 6.530
angles: 80.51 89.88 62.28
Atoms (fractional coordinates):
Y (0.028, 0.443, 0.255)
Y (0.972, 0.557, 0.745)
Zr (0.327, 0.846, 0.983)
Zr (0.673, 0.154, 0.017)
Ag (0.344, 0.814, 0.451)
Ag (0.656, 0.186, 0.549)



Entry 12:
## YZr2Ag (GGA-PBE)

Data for a relaxed structure of YZr2Ag.

Calculated values
**Formation energy from the elements**: 200.5 meV per atom
**SG**: P4/mmm

abc: 5.231 5.231 3.358
angles: 90.00 90.00 90.00
Atoms (fractional coordinates):
Y (0.000, 0.000, 0.000)
Zr (0.000, 0.500, 0.500)
Zr (0.500, 0.000, 0.500)
Ag (0.500, 0.500, 0.000)



Number 1: calculated density 6.5 g/cm³, V 84 Å³/f.u.. Number 2: calculated density 6.8 g/cm³, V 96 Å³/f.u.. Number 3: calculated density 6.4 g/cm³, V 420 Å³/f.u.. Number 4: calculated density 6.6 g/cm³, V 73 Å³/f.u.. Number 5: calculated density 6.6 g/cm³, V 95 Å³/f.u.. Number 6: calculated density 6.3 g/cm³, V 152 Å³/f.u.. Number 7: calculated density 6.4 g/cm³, V 75 Å³/f.u.. Number 8: calculated density 7.0 g/cm³, V 69 Å³/f.u.. Number 9: calculated density 6.6 g/cm³, V 73 Å³/f.u.. Number 10: calculated density 5.3 g/cm³, V 175 Å³/f.u.. Number 11: calculated density 6.7 g/cm³, V 72 Å³/f.u.. Number 12: calculated density 6.9 g/cm³, V 92 Å³/f.u..